{
  "formula": "EuYIn2",
  "functional": "PBE",
  "state": "optimized geometry",
  "lattice_angstrom": [[3.854, 0.000, 0.000], [0.000, 3.854, 0.000], [0.000, 0.000, 7.710]],
  "species": ["Eu", "Y", "In", "In"],
  "fractional_positions": [[0.000, 0.000, 0.000], [0.000, 0.000, 0.500], [0.500, 0.500, 0.268], [0.500, 0.500, 0.732]],
  "total_energy_ev_per_cell": -24.18,
  "magmom_total_mub_per_atom": 1.78,
  "dos_ef_per_ev_atom": 2.2464,
  "e_form_mev_per_atom": -491
}

{
  "formula": "Na2TbPuSe4",
  "functional": "PBE",
  "state": "optimized geometry",
  "lattice_angstrom": [[7.269, 0.000, 0.000], [0.000, 4.194, 0.000], [-2.431, 0.000, 6.965]],
  "species": ["Na", "Na", "Tb", "Pu", "Se", "Se", "Se", "Se"],
  "fractional_positions": [[0.000, 0.000, 0.000], [0.500, 0.500, 0.000], [0.000, 0.500, 0.500], [0.500, 0.000, 0.500], [0.241, 0.000, 0.732], [0.255, 0.500, 0.270], [0.745, 0.500, 0.730], [0.759, 0.000, 0.268]],
  "total_energy_ev_per_cell": -47.90,
  "magmom_total_mub_per_atom": 0.62,
  "dos_ef_per_ev_atom": 1.4945,
  "raw_formation_energy_ev_per_atom": -1.55
}

{
  "formula": "TbNdDy6Tm2",
  "functional": "PBE",
  "state": "optimized geometry",
  "lattice_angstrom": [[4.561, -7.476, 0.000], [4.561, 7.476, 0.000], [-1.056, 0.000, 9.405]],
  "species": ["Tb", "Tb", "Nd", "Nd", "Dy", "Dy", "Dy", "Dy", "Dy", "Dy", "Dy", "Dy", "Dy", "Dy", "Dy", "Dy", "Tm", "Tm", "Tm", "Tm"],
  "fractional_positions": [[0.090, 0.910, 0.750], [0.910, 0.090, 0.250], [0.471, 0.529, 0.250], [0.529, 0.471, 0.750], [0.013, 0.792, 0.383], [0.062, 0.516, 0.182], [0.208, 0.987, 0.117], [0.254, 0.620, 0.557], [0.380, 0.746, 0.943], [0.484, 0.938, 0.318], [0.516, 0.062, 0.682], [0.620, 0.254, 0.057], [0.746, 0.380, 0.443], [0.792, 0.013, 0.883], [0.938, 0.484, 0.818], [0.987, 0.208, 0.617], [0.196, 0.300, 0.952], [0.300, 0.196, 0.452], [0.700, 0.804, 0.548], [0.804, 0.700, 0.048]],
  "total_energy_ev_per_cell": -89.47,
  "magmom_total_mub_per_atom": 0.00,
  "dos_ef_per_ev_atom": 1.5019,
  "e_form_mev_per_atom": 122
}

{
  "formula": "AlCoHg4",
  "functional": "PBE",
  "state": "optimized geometry",
  "lattice_angstrom": [[0.000, 4.111, 4.111], [4.111, 0.000, 4.111], [4.111, 4.111, 0.000]],
  "species": ["Al", "Co", "Hg", "Hg", "Hg", "Hg"],
  "fractional_positions": [[0.000, 0.000, 0.000], [0.750, 0.750, 0.750], [0.375, 0.375, 0.375], [0.375, 0.375, 0.874], [0.375, 0.874, 0.375], [0.874, 0.375, 0.375]],
  "total_energy_ev_per_cell": -7.74,
  "magmom_total_mub_per_atom": 0.32,
  "dos_ef_per_ev_atom": 1.1630,
  "e_form_mev_per_atom": 719
}

{
  "formula": "La3Nd3Sm2",
  "functional": "PBE",
  "state": "optimized geometry",
  "lattice_angstrom": [[5.671, 0.000, 0.000], [0.000, 16.917, 0.000], [-2.831, 0.000, 6.041]],
  "species": ["La", "La", "La", "La", "La", "La", "Nd", "Nd", "Nd", "Nd", "Nd", "Nd", "Sm", "Sm", "Sm", "Sm"],
  "fractional_positions": [[0.032, 0.250, 0.063], [0.125, 0.548, 0.251], [0.125, 0.952, 0.251], [0.875, 0.048, 0.749], [0.875, 0.452, 0.749], [0.968, 0.750, 0.937], [0.245, 0.750, 0.492], [0.432, 0.595, 0.865], [0.432, 0.905, 0.865], [0.568, 0.095, 0.135], [0.568, 0.405, 0.135], [0.755, 0.250, 0.508], [0.270, 0.135, 0.537], [0.270, 0.365, 0.537], [0.730, 0.635, 0.463], [0.730, 0.865, 0.463]],
  "total_energy_ev_per_cell": -75.18,
  "polymorph_energy_ev_per_atom": 0.101,
  "magmom_total_mub_per_atom": 0.00,
  "dos_ef_per_ev_atom": 1.4774,
  "e_form_mev_per_atom": 117
}

{
  "formula": "RbMgNb",
  "functional": "PBE",
  "state": "optimized geometry",
  "lattice_angstrom": [[3.360, 0.000, 0.000], [-1.667, 5.406, 0.000], [-1.193, -1.469, 12.521]],
  "species": ["Rb", "Rb", "Mg", "Mg", "Nb", "Nb"],
  "fractional_positions": [[0.000, 0.000, 0.000], [0.067, 0.585, 0.340], [0.403, 0.006, 0.728], [0.893, 0.118, 0.543], [0.149, 0.477, 0.767], [0.649, 0.571, 0.623]],
  "total_energy_ev_per_cell": -21.66,
  "polymorph_energy_ev_per_atom": 0.218,
  "magmom_total_mub_per_atom": 0.00,
  "dos_ef_per_ev_atom": 0.7845,
  "e_form_mev_per_atom": 600
}

{
  "formula": "ZrTaWAu2",
  "functional": "PBE",
  "state": "optimized geometry",
  "lattice_angstrom": [[5.008, 0.000, 0.000], [0.000, 5.008, 0.000], [0.000, 0.000, 4.803]],
  "species": ["Zr", "Ta", "W", "Au", "Au"],
  "fractional_positions": [[0.000, 0.000, 0.000], [0.500, 0.500, 0.000], [0.500, 0.500, 0.500], [0.000, 0.500, 0.500], [0.500, 0.000, 0.500]],
  "total_energy_ev_per_cell": -33.84,
  "magmom_total_mub_per_atom": 0.06,
  "dos_ef_per_ev_atom": 1.3517,
  "e_form_mev_per_atom": 1215
}

{
  "formula": "HfPaCu2",
  "functional": "PBE",
  "state": "optimized geometry",
  "lattice_angstrom": [[3.056, 0.000, 0.000], [0.000, 3.056, 0.000], [0.000, 0.000, 7.748]],
  "species": ["Hf", "Pa", "Cu", "Cu"],
  "fractional_positions": [[0.000, 0.000, 0.000], [0.000, 0.000, 0.500], [0.500, 0.500, 0.231], [0.500, 0.500, 0.769]],
  "total_energy_ev_per_cell": -27.59,
  "polymorph_energy_ev_per_atom": 0.000,
  "magmom_total_mub_per_atom": 0.00,
  "dos_ef_per_ev_atom": 1.3987,
  "e_form_mev_per_atom": 13
}

{
  "formula": "Sm2ThTl9",
  "functional": "PBE",
  "state": "optimized geometry",
  "lattice_angstrom": [[4.803, 0.000, 0.000], [0.000, 4.803, 0.000], [0.000, 0.000, 14.414]],
  "species": ["Sm", "Sm", "Th", "Tl", "Tl", "Tl", "Tl", "Tl", "Tl", "Tl", "Tl", "Tl"],
  "fractional_positions": [[0.000, 0.000, 0.167], [0.000, 0.000, 0.833], [0.000, 0.000, 0.500], [0.000, 0.500, 0.000], [0.000, 0.500, 0.331], [0.000, 0.500, 0.669], [0.500, 0.000, 0.000], [0.500, 0.000, 0.331], [0.500, 0.000, 0.669], [0.500, 0.500, 0.165], [0.500, 0.500, 0.500], [0.500, 0.500, 0.835]],
  "total_energy_ev_per_cell": -41.15,
  "magmom_total_mub_per_atom": 0.00,
  "dos_ef_per_ev_atom": 0.2936,
  "e_form_mev_per_atom": -250
}

{
  "formula": "ScCd2Ir",
  "functional": "PBE",
  "state": "optimized geometry",
  "lattice_angstrom": [[3.048, 0.000, 0.000], [0.000, 4.869, 0.000], [-1.289, 0.000, 5.162]],
  "species": ["Sc", "Cd", "Cd", "Ir"],
  "fractional_positions": [[0.000, 0.000, 0.000], [0.338, 0.500, 0.734], [0.662, 0.500, 0.266], [0.500, 0.000, 0.500]],
  "total_energy_ev_per_cell": -17.71,
  "magmom_total_mub_per_atom": 0.00,
  "dos_ef_per_ev_atom": 0.6560,
  "e_form_mev_per_atom": -172
}

{
  "formula": "TaHC2Cl",
  "functional": "PBE",
  "state": "optimized geometry",
  "lattice_angstrom": [[3.953, 0.000, 0.000], [0.000, 3.953, 0.000], [0.000, 0.000, 3.356]],
  "species": ["Ta", "H", "C", "C", "Cl"],
  "fractional_positions": [[0.000, 0.000, 0.000], [0.000, 0.000, 0.500], [0.000, 0.500, 0.500], [0.500, 0.000, 0.500], [0.500, 0.500, 0.000]],
  "total_energy_ev_per_cell": -25.36,
  "magmom_total_mub_per_atom": 0.00,
  "dos_ef_per_ev_atom": 0.4273
}

{
  "formula": "Ac2NiBr",
  "functional": "PBE",
  "state": "optimized geometry",
  "lattice_angstrom": [[3.680, 0.000, 0.000], [0.000, 3.680, 0.000], [0.000, 0.000, 8.633]],
  "species": ["Ac", "Ac", "Ni", "Br"],
  "fractional_positions": [[0.000, 0.000, 0.208], [0.000, 0.000, 0.792], [0.500, 0.500, 0.000], [0.500, 0.500, 0.500]],
  "total_energy_ev_per_cell": -18.19,
  "polymorph_energy_ev_per_atom": 0.215,
  "magmom_total_mub_per_atom": 0.00,
  "dos_ef_per_ev_atom": 0.8180,
  "raw_formation_energy_ev_per_atom": -0.63
}